No. 1
# ScOs2Se PBE optimized geometry
# raw formation energy: 4 meV/atom
data_ScOs2Se
_chemical_formula_sum 'Sc1 Os2 Se1'
_space_group_name_H-M_alt 'P 1'
_space_group_IT_number 1
_cell_length_a 3.0142
_cell_length_b 3.8329
_cell_length_c 6.0071
_cell_angle_alpha 90.00
_cell_angle_beta 90.00
_cell_angle_gamma 90.00
loop_
_space_group_symop_operation_xyz
'x,y,z'
loop_
_atom_site_label
_atom_site_fract_x
_atom_site_fract_y
_atom_site_fract_z
Sc1 0.0000 0.0000 0.0000
Os1 0.0000 0.0000 0.5603
Os2 0.5000 0.5000 0.7133
Se1 0.5000 0.5000 0.1913



No. 2
# ScOsSe PBE optimized geometry
# raw formation energy: -411 meV/atom
# energy above the most stable polymorph in this dataset: 0.000 eV per formula unit
data_ScOsSe
_chemical_formula_sum 'Sc1 Os1 Se1'
_space_group_name_H-M_alt 'P 1'
_space_group_IT_number 1
_cell_length_a 4.2962
_cell_length_b 4.2962
_cell_length_c 3.2131
_cell_angle_alpha 90.00
_cell_angle_beta 90.00
_cell_angle_gamma 120.00
loop_
_space_group_symop_operation_xyz
'x,y,z'
loop_
_atom_site_label
_atom_site_fract_x
_atom_site_fract_y
_atom_site_fract_z
Sc1 0.0000 0.0000 0.0000
Os1 0.3333 0.6667 0.5000
Se1 0.6667 0.3333 0.5000



No. 3
# ScOsSe PBE optimized geometry
# raw formation energy: -147 meV/atom
# energy above the most stable polymorph in this dataset: 0.794 eV per formula unit
data_ScOsSe
_chemical_formula_sum 'Sc1 Os1 Se1'
_space_group_name_H-M_alt 'P 1'
_space_group_IT_number 1
_cell_length_a 4.3342
_cell_length_b 4.3342
_cell_length_c 4.3342
_cell_angle_alpha 60.00
_cell_angle_beta 60.00
_cell_angle_gamma 60.00
loop_
_space_group_symop_operation_xyz
'x,y,z'
loop_
_atom_site_label
_atom_site_fract_x
_atom_site_fract_y
_atom_site_fract_z
Sc1 0.0000 0.0000 0.0000
Os1 0.2500 0.2500 0.2500
Se1 0.5000 0.5000 0.5000



Q: Which of these has the lowest raw formation energy?
A: number 2